No. 1
Here is a relaxed structure of HfCr2Pd from the Alexandria database. Energies are from PBE.

Output
For the formation energy, the calculation gives 1.090 eV/f.u. The value obtained for the magnetization is 15.4 Bohr magnetons per cell. The distance to the lowest polymorph of the same formula is 0 meV/atom.

Cell and atoms, written as CIF:
```
data_HfCr2Pd
_space_group_name_H-M_alt 'P 1'
_space_group_IT_number 1
_space_group_name_Hall 'P 1'
_cell_length_a 6.2624
_cell_length_b 6.2624
_cell_length_c 6.2624
_cell_angle_alpha 90.00
_cell_angle_beta 90.00
_cell_angle_gamma 90.00
loop_
_atom_site_label
_atom_site_fract_x
_atom_site_fract_y
_atom_site_fract_z
Hf1 0.0000 0.0000 0.0000
Hf2 0.0000 0.5000 0.5000
Hf3 0.5000 0.0000 0.5000
Hf4 0.5000 0.5000 0.0000
Cr1 0.2500 0.2500 0.2500
Cr2 0.2500 0.2500 0.7500
Cr3 0.2500 0.7500 0.2500
Cr4 0.2500 0.7500 0.7500
Cr5 0.7500 0.2500 0.2500
Cr6 0.7500 0.2500 0.7500
Cr7 0.7500 0.7500 0.2500
Cr8 0.7500 0.7500 0.7500
Pd1 0.0000 0.0000 0.5000
Pd2 0.0000 0.5000 0.0000
Pd3 0.5000 0.0000 0.0000
Pd4 0.5000 0.5000 0.5000
```



No. 2
Here is a relaxed structure of LaScSb2 from the Alexandria database. Energies are from PBE.

Output
The value obtained for the magnetization is 0.0 Bohr magnetons per cell. Its formation energy (no corrections) is -1.3 eV/f.u. The distance to the lowest polymorph of the same formula is 754 meV/atom.

Cell and atoms, written as CIF:
```
data_LaScSb2
_space_group_name_H-M_alt 'P 1'
_space_group_IT_number 1
_space_group_name_Hall 'P 1'
_cell_length_a 7.5579
_cell_length_b 7.5579
_cell_length_c 7.5579
_cell_angle_alpha 90.00
_cell_angle_beta 90.00
_cell_angle_gamma 90.00
loop_
_atom_site_label
_atom_site_fract_x
_atom_site_fract_y
_atom_site_fract_z
La1 0.0000 0.0000 0.0000
La2 0.0000 0.5000 0.5000
La3 0.5000 0.0000 0.5000
La4 0.5000 0.5000 0.0000
Sc1 0.2500 0.2500 0.2500
Sc2 0.2500 0.7500 0.7500
Sc3 0.7500 0.2500 0.7500
Sc4 0.7500 0.7500 0.2500
Sb1 0.0000 0.0000 0.5000
Sb2 0.0000 0.5000 0.0000
Sb3 0.2500 0.2500 0.7500
Sb4 0.2500 0.7500 0.2500
Sb5 0.5000 0.0000 0.0000
Sb6 0.5000 0.5000 0.5000
Sb7 0.7500 0.2500 0.2500
Sb8 0.7500 0.7500 0.7500
```